PBE Tl2NiRh, optimized geometry; distance to the lowest polymorph of the same formula = 323 meV per atom; formation energy = 50.71 kJ per mole of atoms
1.0
0.000 3.340 3.340
3.340 0.000 3.340
3.340 3.340 0.000
Tl Ni Rh
2 1 1
Direct
0.000 0.000 0.000 Tl
0.250 0.250 0.250 Tl
0.500 0.500 0.500 Ni
0.750 0.750 0.750 Rh

PBE ReSiP2, optimized geometry; uncorrected formation energy = 0.389 eV per atom
1.0
-1.598 2.365 3.658
1.598 -2.365 3.658
1.598 2.365 -3.658
Re Si P
1 1 2
Direct
0.000 0.000 0.000 Re
0.500 0.500 0.000 Si
0.274 0.774 0.500 P
0.726 0.226 0.500 P

PBE EuErAgPb, optimized geometry; formation energy = -40.02 kJ per mole of atoms
1.0
0.000 3.805 3.805
3.805 0.000 3.805
3.805 3.805 0.000
Eu Er Ag Pb
1 1 1 1
Direct
0.000 0.000 0.000 Eu
0.500 0.500 0.500 Er
0.250 0.250 0.250 Ag
0.750 0.750 0.750 Pb

PBE Cr2InI, optimized geometry; distance to the lowest polymorph of the same formula = 0 meV per atom; uncorrected formation energy = 0.760 eV per atom
1.0
-3.888 3.888 3.371
3.888 -3.888 3.371
3.888 3.888 -3.371
Cr In I
4 2 2
Direct
0.124 0.625 0.999 Cr
0.375 0.374 0.499 Cr
0.626 0.125 0.001 Cr
0.875 0.876 0.501 Cr
0.250 0.750 0.500 In
0.500 0.500 0.000 In
0.000 0.000 0.000 I
0.750 0.250 0.500 I

Number 1: density 12.7 Mg/m³. Number 2: density 8.3 Mg/m³. Number 3: density 9.6 Mg/m³. Number 4: density 5.6 Mg/m³.